Computed, not measured: a geometry-optimized Ac4TlHgIr2 structure at the PBE level of DFT.

abc: 4.4511 7.4437 16.7130
angles: 90.00 90.00 107.40
Last column: nearest neighbours and their distance in Å.
Atoms (fractional coordinates):
Ir 0.3687 0.7373 0.9271  5 Ac 2.96-3.15
Ir 0.6313 0.2627 0.0729  5 Ac 2.96-3.15
Ir 0.3687 0.7373 0.5729  5 Ac 2.96-3.15
Ir 0.6313 0.2627 0.4271  5 Ac 2.96-3.15
Tl 0.1676 0.3352 0.7500  2 Hg 3.18, 2 Ac 3.45
Tl 0.8324 0.6648 0.2500  2 Hg 3.18, 2 Ac 3.45
Ac 0.7227 0.4454 0.9136  3 Ir 2.96-3.05, 1 Hg 3.12
Ac 0.4823 0.9647 0.7500  2 Hg 3.13, 2 Ir 3.37, 2 Tl 3.45
Ac 0.0000 0.0000 0.5000  4 Ir 3.15
Ac 0.0000 0.0000 0.0000  4 Ir 3.15
Ac 0.5177 0.0353 0.2500  2 Hg 3.13, 2 Ir 3.37, 2 Tl 3.45
Ac 0.2773 0.5546 0.0864  3 Ir 2.96-3.05, 1 Hg 3.12
Ac 0.2773 0.5546 0.4136  3 Ir 2.96-3.05, 1 Hg 3.12
Ac 0.7227 0.4454 0.5864  3 Ir 2.96-3.05, 1 Hg 3.12
Hg 0.1721 0.3443 0.2500  4 Ac 3.12-3.13, 2 Tl 3.18
Hg 0.8279 0.6557 0.7500  4 Ac 3.12-3.13, 2 Tl 3.18

As for the size of the total moment: 0.0 μB/cell. The volume is 33.03 Å³ per atom. Its formation energy from the elements is -366 meV per atom.



Computed, not measured: a geometry-optimized TaPd6Au8 structure at the PBE level of DFT.

abc: 5.6069 7.6175 7.6175
angles: 120.00 90.00 90.00
Last column: nearest neighbours and their distance in Å.
Atoms (fractional coordinates):
Au 0.1254 0.9775 0.6637  5 Pd 2.78-3.01, 4 Au 2.82-3.03
Au 0.1254 0.3363 0.3139  5 Pd 2.78-3.01, 4 Au 2.82-3.03
Au 0.8746 0.0225 0.3363  5 Pd 2.78-3.01, 4 Au 2.82-3.03
Au 0.8746 0.6637 0.6861  5 Pd 2.78-3.01, 4 Au 2.82-3.03
Au 0.8746 0.3139 0.9775  5 Pd 2.78-3.01, 4 Au 2.82-3.03
Au 0.1254 0.6861 0.0225  5 Pd 2.78-3.01, 4 Au 2.82-3.03
Au 0.6253 0.3333 0.6667  6 Pd 2.76-2.78, 3 Au 2.82
Au 0.3747 0.6667 0.3333  6 Pd 2.76-2.78, 3 Au 2.82
Pd 0.6300 0.3422 0.3094  1 Ta 2.60, 6 Au 2.76-2.89, 2 Pd 2.89
Pd 0.6300 0.9672 0.6578  1 Ta 2.60, 6 Au 2.76-2.89, 2 Pd 2.89
Pd 0.3700 0.3094 0.9672  1 Ta 2.60, 6 Au 2.76-2.89, 2 Pd 2.89
Pd 0.3700 0.6578 0.6906  1 Ta 2.60, 6 Au 2.76-2.89, 2 Pd 2.89
Pd 0.3700 0.0328 0.3422  1 Ta 2.60, 6 Au 2.76-2.89, 2 Pd 2.89
Pd 0.6300 0.6906 0.0328  1 Ta 2.60, 6 Au 2.76-2.89, 2 Pd 2.89
Ta 0.5000 0.0000 0.0000  6 Pd 2.60

As for the size of the total moment: 0.0 μB/cell. The volume is 18.78 Å³ per atom. Its formation energy from the elements is -6 meV per atom.



Computed, not measured: a geometry-optimized BaTi2O5 structure at the PBE level of DFT.

abc: 3.3018 6.1830 6.1830
angles: 50.81 74.51 74.51
Last column: nearest neighbours and their distance in Å.
Atoms (fractional coordinates):
O 0.6675 0.0859 0.5791  3 Ti 2.06-2.12
O 0.0000 0.5000 0.5000  2 Ti 1.99
O 0.6675 0.5791 0.0859  3 Ti 2.06-2.12
O 0.3325 0.9141 0.4209  3 Ti 2.06-2.12
O 0.3325 0.4209 0.9141  3 Ti 2.06-2.12
Ti 0.8138 0.6862 0.6862  7 O 1.99-2.12
Ti 0.1862 0.3138 0.3138  7 O 1.99-2.12
Ba 0.0000 0.0000 0.0000  10 O 2.65-2.78

As for the size of the total moment: 0.0 μB/cell. The volume is 11.68 Å³ per atom. The formation energy from raw total energies is -2794 meV/atom.



Computed, not measured: a geometry-optimized Cu3Ru structure at the PBE level of DFT.

abc: 4.2487 4.4533 5.3527
angles: 90.00 90.00 90.00
Last column: nearest neighbours and their distance in Å.
Atoms (fractional coordinates):
Cu 0.0000 0.8295 0.7495  8 Cu 2.56-2.68, 4 Ru 2.60-2.61
Cu 0.0000 0.3207 0.5000  8 Cu 2.56-2.63, 4 Ru 2.63-2.68
Cu 0.5000 0.1705 0.7505  8 Cu 2.56-2.68, 4 Ru 2.60-2.61
Cu 0.5000 0.1705 0.2495  8 Cu 2.56-2.68, 4 Ru 2.60-2.61
Cu 0.0000 0.8295 0.2505  8 Cu 2.56-2.68, 4 Ru 2.60-2.61
Cu 0.5000 0.6793 0.0000  8 Cu 2.56-2.63, 4 Ru 2.63-2.68
Ru 0.5000 0.6707 0.5000  12 Cu 2.60-2.68
Ru 0.0000 0.3293 0.0000  12 Cu 2.60-2.68

As for the size of the total moment: 2.5 μB/cell. The volume is 12.66 Å³ per atom. Its formation energy from the elements is 283 meV per atom.



Computed, not measured: a geometry-optimized Sr2TiS4 structure at the PBE level of DFT.

abc: 6.8400 6.7646 8.3417
angles: 90.00 108.18 90.00
Last column: nearest neighbours and their distance in Å.
Atoms (fractional coordinates):
Sr 0.2874 0.2500 0.9514  6 S 3.00-3.15
Sr 0.7126 0.7500 0.0486  6 S 3.00-3.15
Sr 0.2325 0.2500 0.4324  6 S 3.00-3.17
Sr 0.7675 0.7500 0.5676  6 S 3.00-3.17
S 0.4934 0.4964 0.2601  1 Ti 2.26
S 0.5066 0.5036 0.7399  1 Ti 2.26
S 0.5066 0.9964 0.7399  1 Ti 2.26
S 0.0894 0.7500 0.9217  1 Ti 2.25
S 0.9334 0.2500 0.6305  1 Ti 2.26
S 0.0666 0.7500 0.3695  1 Ti 2.26
S 0.9106 0.2500 0.0783  1 Ti 2.25
S 0.4934 0.0036 0.2601  1 Ti 2.26
Ti 0.7336 0.2500 0.8016  4 S 2.25-2.26
Ti 0.2664 0.7500 0.1984  4 S 2.25-2.26

As for the size of the total moment: 0.0 μB/cell. The volume is 26.19 Å³ per atom. The formation energy from raw total energies is -1771 meV/atom.



Computed, not measured: a geometry-optimized BaReHg4 structure at the PBE level of DFT.

abc: 6.0388 6.0388 6.0388
angles: 60.00 60.00 60.00
Last column: nearest neighbours and their distance in Å.
Atoms (fractional coordinates):
Hg 0.3761 0.3761 0.3761  6 Hg 2.99-3.05
Hg 0.3761 0.8716 0.3761  6 Hg 2.99-3.05
Hg 0.8716 0.3761 0.3761  6 Hg 2.99-3.05
Hg 0.3761 0.3761 0.8716  6 Hg 2.99-3.05
Re 0.7500 0.7500 0.7500  12 Hg 3.54, 4 Ba 3.70
Ba 0.0000 0.0000 0.0000  12 Hg 3.54, 4 Re 3.70

As for the size of the total moment: 3.1 μB/cell. The volume is 25.95 Å³ per atom. Its formation energy from the elements is 594 meV per atom.



Computed, not measured: a geometry-optimized Ho5MgC2 structure at the PBE level of DFT.

abc: 3.6690 6.5738 8.2025
angles: 113.62 102.92 90.00
Last column: nearest neighbours and their distance in Å.
Atoms (fractional coordinates):
Ho 0.3403 0.5907 0.6805  2 C 2.49
Ho 0.6597 0.4093 0.3195  2 C 2.49
Ho 0.0000 0.5000 0.0000  2 C 2.66
Ho 0.6597 0.9102 0.3195  2 C 2.49
Ho 0.3403 0.0898 0.6805  2 C 2.49
Mg 0.0000 0.0000 0.0000  10 Ho 3.29-3.39, 2 Mg 3.67
C 0.1827 0.6827 0.3654  5 Ho 2.49-2.66
C 0.8173 0.3173 0.6346  5 Ho 2.49-2.66

As for the size of the total moment: 0.0 μB/cell. The volume is 21.97 Å³ per atom. Its formation energy from the elements is -62 meV per atom.



Computed, not measured: a geometry-optimized KCoSi2 structure at the PBE level of DFT.

abc: 4.5042 4.5042 4.5042
angles: 60.00 60.00 60.00
Last column: nearest neighbours and their distance in Å.
Atoms (fractional coordinates):
Co 0.5000 0.5000 0.5000  8 Si 2.76
Si 0.7500 0.7500 0.7500  4 Co 2.76, 4 K 2.76
Si 0.2500 0.2500 0.2500  4 Co 2.76, 4 K 2.76
K 0.0000 0.0000 0.0000  8 Si 2.76

As for the size of the total moment: 0.0 μB/cell. The volume is 16.15 Å³ per atom. The formation energy from raw total energies is 790 meV/atom.



Computed, not measured: a geometry-optimized YReAg2 structure at the PBE level of DFT.

abc: 5.2341 5.2341 2.9513
angles: 90.00 90.00 112.42
Last column: nearest neighbours and their distance in Å.
Atoms (fractional coordinates):
Y 0.0000 0.5000 0.5000  2 Re 2.91, 2 Y 2.95, 8 Ag 3.00
Ag 0.0000 0.0000 0.0000  4 Ag 2.91-2.95, 4 Re 3.00, 4 Y 3.00
Ag 0.5000 0.5000 0.0000  4 Ag 2.91-2.95, 4 Y 3.00, 4 Re 3.00
Re 0.5000 0.0000 0.5000  2 Y 2.91, 2 Re 2.95, 8 Ag 3.00

As for the size of the total moment: 0.0 μB/cell. The volume is 18.69 Å³ per atom. Its formation energy from the elements is 438 meV per atom.



Computed, not measured: a geometry-optimized PmSbPt structure at the PBE level of DFT.

abc: 4.1448 4.5308 4.5308
angles: 120.00 90.00 90.00
Last column: nearest neighbours and their distance in Å.
Atoms (fractional coordinates):
Pt 0.4561 0.6667 0.3333  3 Sb 2.63
Sb 0.5279 0.3333 0.6667  3 Pt 2.63
Pm 0.0160 0.0000 0.0000  6 Pt 3.19-3.50, 6 Sb 3.31-3.37

As for the size of the total moment: 0.0 μB/cell. The volume is 24.56 Å³ per atom. The formation energy from raw total energies is -1095 meV/atom.



Computed, not measured: a geometry-optimized AsIr2 structure at the PBE level of DFT.

abc: 5.2489 5.2489 5.2489
angles: 60.00 60.00 60.00
Last column: nearest neighbours and their distance in Å.
Atoms (fractional coordinates):
As 0.5000 0.5000 0.5000  12 Ir 3.08, 4 As 3.21
As 0.7500 0.7500 0.7500  12 Ir 3.08, 4 As 3.21
Ir 0.6250 0.1250 0.1250  6 Ir 2.62
Ir 0.1250 0.6250 0.1250  6 Ir 2.62
Ir 0.1250 0.1250 0.1250  6 Ir 2.62
Ir 0.1250 0.1250 0.6250  6 Ir 2.62

As for the size of the total moment: 0.0 μB/cell. The volume is 17.04 Å³ per atom. Its formation energy from the elements is 662 meV per atom.



Computed, not measured: a geometry-optimized LiHfAlGa2 structure at the PBE level of DFT.

abc: 5.2205 5.3202 5.2205
angles: 90.00 90.00 90.00
Last column: nearest neighbours and their distance in Å.
Atoms (fractional coordinates):
Hf 0.0000 0.0000 0.0000  4 Ga 2.61, 2 Al 2.66
Li 0.5000 0.5000 0.5000  4 Al 3.69, 8 Ga 3.73
Al 0.0000 0.5000 0.0000  2 Hf 2.66
Ga 0.5000 0.0000 0.0000  2 Hf 2.61
Ga 0.0000 0.0000 0.5000  2 Hf 2.61

As for the size of the total moment: 0.0 μB/cell. The volume is 29.00 Å³ per atom. Its formation energy from the elements is 537 meV per atom.



Computed, not measured: a geometry-optimized CePmCdAu structure at the PBE level of DFT.

abc: 5.3209 5.3209 5.3209
angles: 60.00 60.00 60.00
Last column: nearest neighbours and their distance in Å.
Atoms (fractional coordinates):
Au 0.0000 0.0000 0.0000  4 Ce 3.26, 4 Pm 3.26
Ce 0.2500 0.2500 0.2500  4 Au 3.26, 4 Cd 3.26
Pm 0.7500 0.7500 0.7500  4 Cd 3.26, 4 Au 3.26
Cd 0.5000 0.5000 0.5000  4 Pm 3.26, 4 Ce 3.26

As for the size of the total moment: 1.3 μB/cell. The volume is 26.63 Å³ per atom. Its formation energy from the elements is -406 meV per atom.



Computed, not measured: a geometry-optimized PmPr7Y12 structure at the PBE level of DFT.

abc: 9.8679 9.8679 9.8679
angles: 109.47 109.47 109.47
Last column: nearest neighbours and their distance in Å.
Atoms (fractional coordinates):
Y 0.0003 0.7510 0.2493  2 Pr 2.85
Y 0.2490 0.7507 0.9997  2 Pr 2.85
Y 0.4983 0.2490 0.2493  2 Pr 2.85
Y 0.7510 0.2493 0.0003  2 Pr 2.85
Y 0.2493 0.4983 0.2490  2 Pr 2.85
Y 0.5017 0.7510 0.7507  2 Pr 2.85
Y 0.7507 0.5017 0.7510  2 Pr 2.85
Y 0.7507 0.9997 0.2490  2 Pr 2.85
Y 0.7510 0.7507 0.5017  2 Pr 2.85
Y 0.2490 0.2493 0.4983  2 Pr 2.85
Y 0.9997 0.2490 0.7507  2 Pr 2.85
Y 0.2493 0.0003 0.7510  2 Pr 2.85
Pm 0.0000 0.0000 0.0000  12 Y 4.01
Pr 0.5000 0.0000 0.5000  12 Y 4.03-4.04
Pr 0.0000 0.0000 0.5000  6 Y 2.85
Pr 0.5000 0.5000 0.5000  6 Y 2.85
Pr 0.5000 0.5000 0.0000  12 Y 4.03-4.04
Pr 0.0000 0.5000 0.0000  6 Y 2.85
Pr 0.0000 0.5000 0.5000  12 Y 4.03-4.04
Pr 0.5000 0.0000 0.0000  6 Y 2.85

As for the size of the total moment: 0.0 μB/cell. The volume is 36.98 Å³ per atom. Its formation energy from the elements is 610 meV per atom.



Computed, not measured: a geometry-optimized NpTe2Au structure at the PBE level of DFT.

abc: 4.2658 4.2658 7.6152
angles: 73.73 73.73 60.00
Last column: nearest neighbours and their distance in Å.
Atoms (fractional coordinates):
Au 0.6642 0.6642 0.0073  6 Te 2.95-3.01
Te 0.2557 0.2557 0.2330  3 Au 2.95, 3 Np 3.09
Te 0.0776 0.0776 0.7673  3 Au 3.01, 3 Np 3.16
Np 0.5026 0.5026 0.4924  6 Te 3.09-3.16

As for the size of the total moment: 4.0 μB/cell. The volume is 28.39 Å³ per atom. The formation energy from raw total energies is -234 meV/atom.



Computed, not measured: a geometry-optimized KCu2P structure at the PBE level of DFT.

abc: 3.9068 4.6454 5.3240
angles: 83.99 90.00 90.00
Last column: nearest neighbours and their distance in Å.
Atoms (fractional coordinates):
Cu 0.0000 0.5023 0.7321  2 P 2.27, 2 Cu 2.33
Cu 0.0000 0.9977 0.7679  2 P 2.27, 2 Cu 2.33
K 0.5000 0.2500 0.2500  4 P 3.34-3.71, 8 Cu 3.48-3.52
P 0.5000 0.7500 0.7500  4 Cu 2.27

As for the size of the total moment: 0.0 μB/cell. The volume is 24.02 Å³ per atom. Its formation energy from the elements is 68 meV per atom.



Computed, not measured: a geometry-optimized K2Sr2PtO6 structure at the PBE level of DFT.

abc: 6.0406 6.0406 6.5751
angles: 97.87 97.87 118.38
Last column: nearest neighbours and their distance in Å.
Atoms (fractional coordinates):
O 0.7857 0.7857 0.6845  1 Pt 2.02
O 0.9530 0.6733 0.3235  1 Pt 2.02
O 0.2143 0.2143 0.3155  1 Pt 2.02
O 0.6733 0.9530 0.3235  1 Pt 2.02
O 0.0470 0.3267 0.6765  1 Pt 2.02
O 0.3267 0.0470 0.6765  1 Pt 2.02
Sr 0.6624 0.3376 0.5000  6 O 2.49-2.52
Sr 0.3376 0.6624 0.5000  6 O 2.49-2.52
Pt 0.0000 0.0000 0.5000  6 O 2.02
K 0.8421 0.1579 0.0000  4 O 2.69-2.70
K 0.1579 0.8421 0.0000  4 O 2.69-2.70

As for the size of the total moment: 2.1 μB/cell. The volume is 18.49 Å³ per atom. The formation energy from raw total energies is -1557 meV/atom.



Computed, not measured: a geometry-optimized Rb2Bi2Rh structure at the PBE level of DFT.

abc: 7.2831 7.2831 6.2674
angles: 90.00 90.00 90.00
Last column: nearest neighbours and their distance in Å.
Atoms (fractional coordinates):
Bi 0.8491 0.6509 0.0000  2 Rh 2.77
Bi 0.3491 0.8491 0.0000  2 Rh 2.77
Bi 0.6509 0.1509 0.0000  2 Rh 2.77
Bi 0.1509 0.3491 0.0000  2 Rh 2.77
Rb 0.3253 0.1747 0.5000  5 Rb 3.60-3.80, 6 Bi 3.61-3.93
Rb 0.6747 0.8253 0.5000  5 Rb 3.60-3.80, 6 Bi 3.61-3.93
Rb 0.8253 0.3253 0.5000  5 Rb 3.60-3.80, 6 Bi 3.61-3.93
Rb 0.1747 0.6747 0.5000  5 Rb 3.60-3.80, 6 Bi 3.61-3.93
Rh 0.0000 0.0000 0.0000  4 Bi 2.77
Rh 0.5000 0.5000 0.0000  4 Bi 2.77

As for the size of the total moment: 0.0 μB/cell. The volume is 33.24 Å³ per atom. Its formation energy from the elements is -140 meV per atom.



Computed, not measured: a geometry-optimized LaOF3 structure at the PBE level of DFT.

abc: 7.6743 8.2432 8.2562
angles: 110.88 90.00 90.00
Last column: nearest neighbours and their distance in Å.
Atoms (fractional coordinates):
F 0.5050 0.4025 0.6030  2 La 2.35-2.36
F 0.2499 0.7440 0.7552  2 La 2.34
F 0.7501 0.2560 0.2448  2 La 2.34
F 0.4949 0.1036 0.9031  2 La 2.35-2.36
F 0.7499 0.7560 0.7448  2 La 2.34
F 0.0050 0.0975 0.8970  2 La 2.35-2.36
F 0.4950 0.5975 0.3970  2 La 2.35-2.36
F 0.9950 0.9025 0.1030  2 La 2.35-2.36
F 0.2501 0.2440 0.2552  2 La 2.34
F 0.9949 0.3964 0.5969  2 La 2.35-2.36
F 0.5051 0.8964 0.0969  2 La 2.35-2.36
F 0.0051 0.6036 0.4031  2 La 2.35-2.36
La 0.2500 0.9958 0.0034  6 F 2.34-2.36
La 0.7500 0.0042 0.9966  6 F 2.34-2.36
La 0.7500 0.5042 0.4966  6 F 2.34-2.36
La 0.2500 0.4958 0.5034  6 F 2.34-2.36
O 0.9198 0.4993 0.0005  1 O 1.23
O 0.5802 0.9993 0.5005  1 O 1.23
O 0.0802 0.5007 0.9995  1 O 1.23
O 0.4198 0.0007 0.4995  1 O 1.23

As for the size of the total moment: 4.0 μB/cell. The volume is 24.40 Å³ per atom. The formation energy from raw total energies is -3204 meV/atom.



Computed, not measured: a geometry-optimized Mn4CoRu2 structure at the PBE level of DFT.

abc: 5.9017 5.9017 5.0727
angles: 125.56 125.56 90.00
Last column: nearest neighbours and their distance in Å.
Atoms (fractional coordinates):
Ru 0.7856 0.2857 0.5714  8 Mn 2.54
Ru 0.2857 0.7856 0.5714  8 Mn 2.54
Mn 0.2857 0.7856 0.0714  4 Ru 2.54, 2 Co 2.54
Mn 0.7860 0.7860 0.0717  2 Co 2.54, 4 Ru 2.54
Mn 0.7856 0.2857 0.0714  4 Ru 2.54, 2 Co 2.54
Mn 0.2857 0.2857 0.0712  4 Ru 2.54, 2 Co 2.54
Co 0.7857 0.7857 0.5714  8 Mn 2.54

As for the size of the total moment: 13.5 μB/cell. The volume is 14.36 Å³ per atom. Its formation energy from the elements is 351 meV per atom.